A geometry-optimized Sm8As3Se4 structure. Source: Alexandria, functional PBE-GGA.

Structure (POSCAR):
```
Sm8As3Se4
1.0
5.8829 -5.8944 0.0000
5.8829 5.8944 0.0000
-5.8818 0.0000 5.9019
Sm As Se
8 3 4
direct
0.2456 0.2456 0.4948
0.2463 0.7537 0.0000
0.2490 0.2490 0.0042
0.2505 0.7495 0.5000
0.7495 0.2505 0.5000
0.7510 0.7510 0.9958
0.7537 0.2463 0.0000
0.7544 0.7544 0.5052
0.0000 0.0000 0.0000
0.0000 0.5000 0.5000
0.5000 0.0000 0.5000
0.0000 0.5000 0.0000
0.5000 0.0000 0.0000
0.5000 0.5000 0.0000
0.5000 0.5000 0.5000
```

Calculated values
- ρ (g cm⁻³) = 7.07
- DOS(E_F) (states/eV per cell) = 7.2
- formation energy without anion corrections (eV per formula unit) = -23.97

=====

A geometry-optimized SbH6Ir structure. Source: Alexandria, functional PBE-GGA.

Structure (POSCAR):
```
SbH6Ir
1.0
3.5097 -2.7089 0.0000
3.5097 2.7089 0.0000
-2.6527 0.0000 3.9407
Sb H Ir
1 6 1
direct
0.0000 0.0000 0.0000
0.1915 0.6607 0.2223
0.2848 0.2848 0.5566
0.3393 0.8085 0.7777
0.6607 0.1915 0.2223
0.7152 0.7152 0.4434
0.8085 0.3393 0.7777
0.5000 0.5000 0.5000
```

Calculated values
- ρ (g cm⁻³) = 7.09
- DOS(E_F) (states/eV per cell) = 0.7
- total DFT energy (no corrections) (eV per atom) = -3.917

=====

A geometry-optimized LiCuH4Rh structure. Source: Alexandria, functional PBE-GGA.

Structure (POSCAR):
```
LiCuH4Rh
1.0
-2.7133 2.8700 3.7873
2.7133 -2.8700 3.7873
2.7133 2.8700 -3.7873
Li Cu H Rh
2 2 8 2
direct
0.4003 0.1503 0.2500
0.5997 0.8497 0.7500
0.0000 0.0000 0.5000
0.0000 0.5000 0.0000
0.1911 0.7255 0.4656
0.2401 0.2745 0.9656
0.2494 0.2951 0.5457
0.2494 0.7037 0.9543
0.7506 0.2963 0.0457
0.7506 0.7049 0.4543
0.7599 0.7255 0.0344
0.8089 0.2745 0.5344
0.0000 0.5000 0.5000
0.5000 0.5000 0.0000
```

Calculated values
- ρ (g cm⁻³) = 4.99
- DOS(E_F) (states/eV per cell) = 1.3
- total DFT energy (no corrections) (eV per atom) = -3.988

=====

A geometry-optimized KGe2Au2 structure. Source: Alexandria, functional PBE-GGA.

Structure (POSCAR):
```
KGe2Au2
1.0
-2.3605 2.3605 5.3655
2.3605 -2.3605 5.3655
2.3605 2.3605 -5.3655
K Ge Au
1 2 2
direct
0.0000 0.0000 0.0000
0.2500 0.7500 0.5000
0.7500 0.2500 0.5000
0.3613 0.3613 0.0000
0.6387 0.6387 0.0000
```

Calculated values
- ρ (g cm⁻³) = 8.03
- calculated formation energy (eV per atom) = -0.151
- DOS(E_F) (states/eV per cell) = 2.4
- energy above the lowest structure with this stoichiometry (meV/atom) = 32

=====

A geometry-optimized RbCaScCl2 structure. Source: Alexandria, functional PBE-GGA.

Structure (POSCAR):
```
RbCaScCl2
1.0
5.8297 0.0000 0.0000
0.0000 5.8297 0.0000
0.0000 0.0000 6.5350
Rb Ca Sc Cl
1 1 1 2
direct
0.0000 0.0000 0.0000
0.5000 0.5000 0.5000
0.0000 0.0000 0.5000
0.0000 0.5000 0.0000
0.5000 0.0000 0.0000
```

Calculated values
- ρ (g cm⁻³) = 1.80
- DOS(E_F) (states/eV per cell) = 4.2
- formation energy without anion corrections (eV per formula unit) = -0.77
- energy above the lowest structure with this stoichiometry (meV/atom) = 387

=====

A geometry-optimized SrSb2F structure. Source: Alexandria, functional PBE-GGA.

Structure (POSCAR):
```
SrSb2F
1.0
0.0000 3.7490 3.7490
3.7490 0.0000 3.7490
3.7490 3.7490 0.0000
Sr Sb F
1 2 1
direct
0.0000 0.0000 0.0000
0.2500 0.2500 0.2500
0.7500 0.7500 0.7500
0.5000 0.5000 0.5000
```

Calculated values
- ρ (g cm⁻³) = 5.52
- DOS(E_F) (states/eV per cell) = 2.9
- formation energy without anion corrections (eV per formula unit) = -2.31
- energy above the lowest structure with this stoichiometry (meV/atom) = 197

=====

A geometry-optimized KAcU4N8 structure. Source: Alexandria, functional PBE-GGA.

Structure (POSCAR):
```
KAcU4N8
1.0
3.5091 2.0260 5.7126
-3.5091 2.0260 5.7126
0.0000 -4.0519 5.7126
K Ac U N
1 1 4 8
direct
0.0000 0.0000 0.0000
0.3954 0.3954 0.3954
0.0074 0.0074 0.5003
0.0074 0.5003 0.0074
0.5003 0.0074 0.0074
0.6205 0.6205 0.6205
0.2326 0.7310 0.7310
0.2364 0.2364 0.2364
0.2540 0.2540 0.8273
0.2540 0.8273 0.2540
0.7310 0.2326 0.7310
0.7310 0.7310 0.2326
0.7650 0.7650 0.7650
0.8273 0.2540 0.2540
```

Calculated values
- ρ (g cm⁻³) = 9.07
- DOS(E_F) (states/eV per cell) = 11.9
- formation energy without anion corrections (eV per formula unit) = -14.82

=====

A geometry-optimized ThSiPd4 structure. Source: Alexandria, functional PBE-GGA.

Structure (POSCAR):
```
ThSiPd4
1.0
2.4015 -6.6501 0.0000
2.4015 6.6501 0.0000
0.0000 0.0000 6.9378
Th Si Pd
2 2 8
direct
0.1134 0.8866 0.7500
0.8866 0.1134 0.2500
0.3678 0.6322 0.7500
0.6322 0.3678 0.2500
0.1026 0.8974 0.2500
0.2908 0.7092 0.0544
0.2908 0.7092 0.4456
0.5000 0.5000 0.0000
0.5000 0.5000 0.5000
0.7092 0.2908 0.5544
0.7092 0.2908 0.9456
0.8974 0.1026 0.7500
```

Calculated values
- ρ (g cm⁻³) = 10.28
- DOS(E_F) (states/eV per cell) = 6.9
- formation energy without anion corrections (eV per formula unit) = -3.96

=====

A geometry-optimized MnZn2Pt structure. Source: Alexandria, functional PBE-GGA.

Structure (POSCAR):
```
MnZn2Pt
1.0
0.0000 3.0720 3.0720
3.0720 0.0000 3.0720
3.0720 3.0720 0.0000
Mn Zn Pt
1 2 1
direct
0.0000 0.0000 0.0000
0.5000 0.5000 0.5000
0.7500 0.7500 0.7500
0.2500 0.2500 0.2500
```

Calculated values
- ρ (g cm⁻³) = 10.91
- calculated formation energy (eV per atom) = -0.270
- DOS(E_F) (states/eV per cell) = 2.5

=====

A geometry-optimized KAgWSe4 structure. Source: Alexandria, functional PBE-GGA.

Structure (POSCAR):
```
KAgWSe4
1.0
6.0237 0.0000 0.0000
0.0000 7.5677 0.0000
-2.4931 0.0000 9.7349
K Ag W Se
2 2 2 8
direct
0.2046 0.2500 0.3853
0.7954 0.7500 0.6147
0.1626 0.2500 0.7855
0.8374 0.7500 0.2145
0.3370 0.7500 0.2156
0.6630 0.2500 0.7844
0.0442 0.7500 0.0134
0.2106 0.7500 0.4241
0.4538 0.5122 0.7900
0.4538 0.9878 0.7900
0.5462 0.0122 0.2100
0.5462 0.4878 0.2100
0.7894 0.2500 0.5759
0.9558 0.2500 0.9866
```

Calculated values
- ρ (g cm⁻³) = 4.84
- formation energy without anion corrections (eV per formula unit) = -3.54

=====

A geometry-optimized NaHg2AsSe4 structure. Source: Alexandria, functional PBE-GGA.

Structure (POSCAR):
```
NaHg2AsSe4
1.0
8.6200 0.0000 0.0000
0.0000 8.9683 0.0000
0.0000 0.0000 6.4819
Na Hg As Se
2 4 2 8
direct
0.0000 0.1271 0.0000
0.5000 0.8729 0.5000
0.2154 0.3453 0.4796
0.2846 0.6547 0.9796
0.7154 0.6547 0.9796
0.7846 0.3453 0.4796
0.0000 0.7835 0.4640
0.5000 0.2165 0.9640
0.0000 0.1456 0.5203
0.0000 0.7821 0.0870
0.2339 0.6403 0.5397
0.2661 0.3597 0.0397
0.5000 0.2179 0.5870
0.5000 0.8544 0.0203
0.7339 0.3597 0.0397
0.7661 0.6403 0.5397
```

Calculated values
- ρ (g cm⁻³) = 5.40
- formation energy without anion corrections (eV per formula unit) = -2.60